VASP calculation (GGA-PBE) on crystalline CaPm2Sn6 at its relaxed geometry.

```
CaPm2Sn6
1.0
-2.2810 3.5695 8.3353
2.2810 -3.5695 8.3353
2.2810 3.5695 -8.3353
Ca Pm Sn
1 2 6
Direct
0.0000 0.0000 0.0000 Ca
0.3804 0.8804 0.5000 Pm
0.6181 0.1181 0.5000 Pm
0.0163 0.3075 0.7088 Sn
0.2934 0.4991 0.7942 Sn
0.3998 0.6910 0.7088 Sn
0.5986 0.3075 0.2912 Sn
0.7049 0.4991 0.2058 Sn
0.9822 0.6910 0.2912 Sn
```

## Properties
DOS(E_F) ... 4.63 states/eV/f.u.
Uncorrected energy ... -4.42 eV/atom
ΔE_f ... -0.476 eV per atom
Space group ... No. 44
Density ... 6.4 g/cm3